This record from Alexandria via LeMat-Bulk describes a relaxed structure of ScRuF3. The functional is PBE.

Unit cell a=4.174 b=4.174 c=4.174 alpha=90.00 beta=90.00 gamma=90.00
Atoms (fractional coordinates):
Ru 0.500 0.500 0.500
F 0.500 0.000 0.000
F 0.000 0.000 0.500
Sc 0.000 0.000 0.000
F 0.000 0.500 0.000

Computed properties:
The formation energy (no corrections) comes out at -1.791 eV/atom.



This record from Alexandria via LeMat-Bulk describes a relaxed structure of Y7Er3Sc. The functional is PBE.

Unit cell a=5.697 b=8.382 c=8.382 alpha=84.28 beta=109.87 gamma=109.87
Atoms (fractional coordinates):
Y 0.692 0.399 0.984
Y 0.000 0.500 0.500
Er 0.000 0.794 0.206
Y 0.214 0.213 0.213
Er 0.500 0.000 0.000
Er 0.000 0.206 0.794
Sc 0.500 0.500 0.500
Y 0.786 0.787 0.787
Y 0.308 0.601 0.016
Y 0.692 0.984 0.399
Y 0.308 0.016 0.601

Computed properties:
Its energy of formation is 0.26 eV/atom.



This record from Alexandria via LeMat-Bulk describes a relaxed structure of Na2SrReO4. The functional is PBE.

Unit cell a=5.409 b=5.409 c=5.409 alpha=101.36 beta=113.67 gamma=113.67
Atoms (fractional coordinates):
Na 0.000 0.000 0.000
Sr 0.500 0.250 0.750
Na 0.500 0.750 0.250
O 0.450 0.715 0.764
Re 0.000 0.500 0.500
O 0.049 0.735 0.285
O 0.951 0.236 0.686
O 0.550 0.314 0.265

Computed properties:
The formation energy (no corrections) comes out at -1.788 eV/atom.



This record from Alexandria via LeMat-Bulk describes a relaxed structure of La3HfBi. The functional is PBE.

Unit cell a=5.659 b=5.659 c=5.659 alpha=90.00 beta=90.00 gamma=90.00
Atoms (fractional coordinates):
La 0.500 0.000 0.000
La 0.000 0.000 0.500
La 0.000 0.500 0.000
Bi 0.500 0.500 0.500
Hf 0.000 0.000 0.000

Computed properties:
Its energy of formation is 0.23 eV/atom.



This record from Alexandria via LeMat-Bulk describes a relaxed structure of BaTiHSe2. The functional is PBE.

Unit cell a=5.167 b=5.167 c=4.132 alpha=90.00 beta=90.00 gamma=90.00
Atoms (fractional coordinates):
H 0.000 0.000 0.500
Se 0.000 0.500 0.000
Ba 0.500 0.500 0.500
Se 0.500 0.000 0.000
Ti 0.000 0.000 0.000

Computed properties:
The total energy comes out at -5.182 eV/atom.



Number 1: density 4.64 Mg/m³. Number 2: density 5.48 Mg/m³. Number 3: density 5.31 Mg/m³. Number 4: density 7.37 Mg/m³. Number 5: density 5.18 Mg/m³.